[1]
Ac3PmSn2 (GGA-PBE, relaxed); ΔH_f (0 K) = -1.95 eV per formula unit; mass density = 7.0 g/cm3; volume = 505 Å³ per cell
1.0
-3.843 7.783 4.219
3.843 -7.783 4.219
3.843 7.783 -4.219
Ac Pm Sn
6 2 4
Direct
0.038 0.750 0.288
0.250 0.250 0.000
0.462 0.750 0.712
0.538 0.250 0.288
0.750 0.750 0.000
0.962 0.250 0.712
0.000 0.500 0.500
0.500 0.000 0.500
0.139 0.190 0.329
0.361 0.690 0.051
0.639 0.310 0.949
0.861 0.810 0.671


[2]
Ac3Pm2Sn3 (GGA-PBE, relaxed); ΔH_f (0 K) = -5.20 eV per formula unit; mass density = 7.8 g/cm3; energy relative to the lowest polymorph listed for this composition = 0.0 meV/atom; volume = 564 Å³ per cell
1.0
9.681 0.000 0.000
-4.841 8.384 0.000
0.000 0.000 6.951
Ac Pm Sn
6 4 6
Direct
0.000 0.247 0.250
0.000 0.753 0.750
0.247 0.000 0.250
0.247 0.247 0.750
0.753 0.000 0.750
0.753 0.753 0.250
0.333 0.667 0.000
0.333 0.667 0.500
0.667 0.333 0.000
0.667 0.333 0.500
0.000 0.399 0.750
0.000 0.601 0.250
0.399 0.000 0.750
0.399 0.399 0.250
0.601 0.000 0.250
0.601 0.601 0.750


Q: Look up the mass density of the second one.
A: 7.8 g/cm3


Q: The highest volume belongs to which entry?
A: Ac3Pm2Sn3


Q: Look up the mass density of the second one.
A: 7.8 g/cm3